## i
The following is a DFT calculation (PBE-GGA) of Er3Sc8 after structural relaxation.

abc: 5.9329 8.1015 8.1762
angles: 122.94 115.41 82.37
Closest atoms and distances in Å follow each position.
Fractional positions:
Sc: 0.8779 0.3780 0.7560  5 Sc 3.02-3.36, 4 Er 3.10-3.33
Sc: 0.1644 0.0117 0.7358  7 Sc 3.13-3.43, 1 Er 3.28
Sc: 0.8356 0.9883 0.2642  7 Sc 3.13-3.43, 1 Er 3.28
Sc: 0.1700 0.8330 0.0000  3 Er 3.12-3.19, 7 Sc 3.15-3.36
Sc: 0.8300 0.1670 0.0000  3 Er 3.12-3.19, 7 Sc 3.15-3.36
Sc: 0.4285 0.2759 0.2643  7 Sc 3.13-3.42, 1 Er 3.28
Sc: 0.1221 0.6220 0.2440  5 Sc 3.02-3.36, 4 Er 3.10-3.33
Sc: 0.5715 0.7241 0.7357  7 Sc 3.13-3.42, 1 Er 3.28
Er: 0.5000 0.5000 0.0000  6 Sc 3.12-3.33
Er: 0.0000 0.5000 0.5000  6 Sc 3.10-3.28
Er: 0.5000 0.0000 0.5000  6 Sc 3.10-3.28

=====

## ii
The following is a DFT calculation (PBE-GGA) of Er3Sc8 after structural relaxation.

abc: 6.7853 6.7853 6.7853
angles: 93.54 93.54 93.54
Closest atoms and distances in Å follow each position.
Fractional positions:
Er: 0.5000 0.0000 0.5000  4 Sc 2.86-2.99
Er: 0.5000 0.5000 0.0000  4 Sc 2.86-2.99
Er: 0.0000 0.5000 0.5000  4 Sc 2.86-2.99
Sc: 0.3516 0.3516 0.3516  3 Er 2.86
Sc: 0.0624 0.6935 0.9084  1 Er 2.99, 6 Sc 3.07-3.21
Sc: 0.9376 0.3065 0.0916  1 Er 2.99, 6 Sc 3.07-3.21
Sc: 0.3065 0.0916 0.9376  1 Er 2.99, 6 Sc 3.07-3.21
Sc: 0.0916 0.9376 0.3065  1 Er 2.99, 6 Sc 3.07-3.21
Sc: 0.9084 0.0624 0.6935  1 Er 2.99, 6 Sc 3.07-3.21
Sc: 0.6935 0.9084 0.0624  1 Er 2.99, 6 Sc 3.07-3.21
Sc: 0.6484 0.6484 0.6484  3 Er 2.86

=====

Most stable of them? i.

=====

## i
The following is a DFT calculation (PBE-GGA) of Er3ScSe4 after structural relaxation.

abc: 3.9627 6.9510 6.9510
angles: 109.00 90.00 90.00
Closest atoms and distances in Å follow each position.
Fractional positions:
Er: 0.5000 0.5000 0.5000  6 Se 2.87
Er: 0.0000 0.5000 0.0000  6 Se 2.83
Er: 0.0000 0.0000 0.5000  6 Se 2.83
Se: 0.5000 0.2462 0.7538  1 Sc 2.79, 5 Er 2.83-2.87
Se: 0.5000 0.7538 0.2462  1 Sc 2.79, 5 Er 2.83-2.87
Se: 0.0000 0.7576 0.7576  2 Sc 2.79, 4 Er 2.83-2.87
Se: 0.0000 0.2424 0.2424  2 Sc 2.79, 4 Er 2.83-2.87
Sc: 0.5000 0.0000 0.0000  6 Se 2.79

=====

## ii
The following is a DFT calculation (PBE-GGA) of Er3ScSe4 after structural relaxation.

abc: 7.4092 7.5071 8.3852
angles: 90.00 90.00 90.00
Closest atoms and distances in Å follow each position.
Fractional positions:
Er: 0.4520 0.8157 0.0000  4 Se 2.75-2.85
Er: 0.0346 0.6060 0.2448  4 Se 2.78-2.84
Er: 0.5346 0.3940 0.2552  4 Se 2.78-2.84
Er: 0.5346 0.3940 0.7448  4 Se 2.78-2.84
Er: 0.0346 0.6060 0.7552  4 Se 2.78-2.84
Er: 0.9520 0.1843 0.5000  4 Se 2.75-2.85
Sc: 0.4593 0.7936 0.5000  4 Se 2.65-2.77
Sc: 0.9593 0.2064 0.0000  4 Se 2.65-2.77
Se: 0.6749 0.7374 0.2535  1 Sc 2.65, 3 Er 2.75-2.84
Se: 0.6041 0.1638 0.0000  1 Sc 2.65, 3 Er 2.80-2.85
Se: 0.1041 0.8362 0.5000  1 Sc 2.65, 3 Er 2.80-2.85
Se: 0.0809 0.8569 0.0000  3 Er 2.77-2.81, 1 Sc 2.77
Se: 0.1749 0.2626 0.7535  1 Sc 2.65, 3 Er 2.75-2.84
Se: 0.1749 0.2626 0.2465  1 Sc 2.65, 3 Er 2.75-2.84
Se: 0.6749 0.7374 0.7465  1 Sc 2.65, 3 Er 2.75-2.84
Se: 0.5809 0.1431 0.5000  3 Er 2.77-2.81, 1 Sc 2.77

=====

Most stable of them? i.

=====

## i
The following is a DFT calculation (PBE-GGA) of Er2ScSe4 after structural relaxation.

abc: 7.9662 7.8901 7.8901
angles: 60.70 59.68 59.68
Closest atoms and distances in Å follow each position.
Fractional positions:
Sc: 0.0000 0.5000 0.0000  6 Se 2.71-2.78
Sc: 0.5000 0.5000 0.0000  6 Se 2.71-2.78
Se: 0.2565 0.7457 0.2457  1 Sc 2.71, 3 Er 2.81-2.83
Se: 0.2479 0.2543 0.7543  1 Sc 2.71, 3 Er 2.81-2.83
Se: 0.2585 0.7345 0.7486  2 Sc 2.78, 3 Er 2.86
Se: 0.7435 0.2543 0.7543  1 Sc 2.71, 3 Er 2.81-2.83
Se: 0.7415 0.2655 0.2514  2 Sc 2.78, 3 Er 2.86
Se: 0.7521 0.7457 0.2457  1 Sc 2.71, 3 Er 2.81-2.83
Se: 0.2585 0.2486 0.2345  2 Sc 2.78, 3 Er 2.86
Se: 0.7415 0.7514 0.7655  2 Sc 2.78, 3 Er 2.86
Er: 0.5000 0.0000 0.5000  6 Se 2.81-2.86
Er: 0.0000 0.0000 0.0000  6 Se 2.83-2.86
Er: 0.0000 0.5000 0.5000  6 Se 2.83-2.86
Er: 0.0000 0.0000 0.5000  6 Se 2.81-2.86

=====

## ii
The following is a DFT calculation (PBE-GGA) of Er2ScSe4 after structural relaxation.

abc: 3.8589 6.8955 13.5986
angles: 90.00 90.00 106.25
Closest atoms and distances in Å follow each position.
Fractional positions:
Se: 0.9806 0.9611 0.7500  2 Sc 2.78, 2 Er 2.81
Se: 0.2202 0.4404 0.6239  2 Sc 2.84, 3 Er 2.84-2.94
Se: 0.0194 0.0389 0.2500  2 Sc 2.78, 2 Er 2.81
Se: 0.2202 0.4404 0.8761  2 Sc 2.84, 3 Er 2.84-2.94
Se: 0.5000 0.0000 0.5000  4 Er 2.78
Se: 0.5000 0.0000 0.0000  4 Er 2.78
Se: 0.7798 0.5596 0.3761  2 Sc 2.84, 3 Er 2.84-2.94
Se: 0.7798 0.5596 0.1239  2 Sc 2.84, 3 Er 2.84-2.94
Sc: 0.6313 0.2627 0.7500  6 Se 2.78-2.84
Sc: 0.3687 0.7373 0.2500  6 Se 2.78-2.84
Er: 0.8692 0.7383 0.5738  6 Se 2.78-2.94
Er: 0.1308 0.2617 0.0738  6 Se 2.78-2.94
Er: 0.8692 0.7383 0.9262  6 Se 2.78-2.94
Er: 0.1308 0.2617 0.4262  6 Se 2.78-2.94

=====

Most stable of them? i.

=====

## i
The following is a DFT calculation (PBE-GGA) of Er2ScSe after structural relaxation.

abc: 3.6310 3.6310 10.1335
angles: 79.68 79.68 60.00
Closest atoms and distances in Å follow each position.
Fractional positions:
Sc: 0.0000 0.0000 0.0000  2 Er 3.12
Se: 0.5000 0.5000 0.5000  6 Er 2.79
Er: 0.8950 0.8950 0.3149  3 Se 2.79
Er: 0.1050 0.1050 0.6851  3 Se 2.79

=====

## ii
The following is a DFT calculation (PBE-GGA) of Er2ScSe after structural relaxation.

abc: 3.6994 3.6994 9.3047
angles: 78.53 78.53 60.00
Closest atoms and distances in Å follow each position.
Fractional positions:
Er: 0.0696 0.0696 0.7912  3 Se 2.85
Er: 0.2641 0.2641 0.2078  3 Se 2.85
Se: 0.6668 0.6668 0.9996  6 Er 2.85
Sc: 0.4995 0.4995 0.5014  6 Er 3.38-3.41, 6 Sc 3.70

=====

Most stable of them? ii.

=====

## i
The following is a DFT calculation (PBE-GGA) of Er2Sc3Se6 after structural relaxation.

abc: 3.9860 3.9860 19.6540
angles: 84.18 84.18 60.00
Closest atoms and distances in Å follow each position.
Fractional positions:
Sc: 0.2821 0.2821 0.1537  6 Se 2.73-2.81
Sc: 0.0000 0.0000 0.0000  6 Se 2.76
Sc: 0.7179 0.7179 0.8463  6 Se 2.73-2.81
Se: 0.8024 0.8024 0.5929  3 Er 2.72
Se: 0.9213 0.9213 0.2361  3 Sc 2.81, 3 Er 2.98
Se: 0.1976 0.1976 0.4071  3 Er 2.72
Se: 0.6406 0.6406 0.0781  6 Sc 2.73-2.76
Se: 0.3594 0.3594 0.9219  6 Sc 2.73-2.76
Se: 0.0787 0.0787 0.7639  3 Sc 2.81, 3 Er 2.98
Er: 0.5557 0.5557 0.3330  6 Se 2.72-2.98
Er: 0.4443 0.4443 0.6670  6 Se 2.72-2.98

=====

## ii
The following is a DFT calculation (PBE-GGA) of Er2Sc3Se6 after structural relaxation.

abc: 6.7870 6.7653 6.8417
angles: 80.45 70.68 59.89
Closest atoms and distances in Å follow each position.
Fractional positions:
Se: 0.7406 0.0000 0.7558  3 Sc 2.73-2.80, 2 Er 2.81
Se: 0.0870 0.3273 0.7577  3 Sc 2.73-2.78, 2 Er 2.83
Se: 0.9130 0.6727 0.2423  3 Sc 2.73-2.78, 2 Er 2.83
Se: 0.2594 0.0000 0.2442  3 Sc 2.73-2.80, 2 Er 2.81
Se: 0.4143 0.6727 0.7577  3 Sc 2.73-2.78, 2 Er 2.83
Se: 0.5857 0.3273 0.2423  3 Sc 2.73-2.78, 2 Er 2.83
Er: 0.1654 0.6692 0.5000  6 Se 2.81-2.83
Er: 0.8346 0.3308 0.5000  6 Se 2.81-2.83
Sc: 0.0000 0.0000 0.0000  6 Se 2.73-2.80
Sc: 0.3335 0.3330 0.0000  6 Se 2.73-2.78
Sc: 0.6665 0.6670 0.0000  6 Se 2.73-2.78

=====

Most stable of them? ii.

=====

## i
The following is a DFT calculation (PBE-GGA) of Er2ScSi2 after structural relaxation.

abc: 4.1847 6.2179 9.3456
angles: 78.84 77.06 70.34
Closest atoms and distances in Å follow each position.
Fractional positions:
Er: 0.6823 0.7303 0.9051  5 Si 2.98-3.20
Er: 0.5155 0.6559 0.3131  6 Si 2.95-3.08
Er: 0.4845 0.3441 0.6869  6 Si 2.95-3.08
Er: 0.3177 0.2697 0.0949  5 Si 2.98-3.20
Si: 0.9880 0.1350 0.8889  1 Si 2.40
Si: 0.8830 0.6739 0.5602  1 Si 2.43, 2 Sc 2.67
Si: 0.0120 0.8650 0.1111  1 Si 2.40
Si: 0.1170 0.3261 0.4398  1 Si 2.43, 2 Sc 2.67
Sc: 0.2247 0.9204 0.6302  4 Si 2.67-2.81
Sc: 0.7753 0.0796 0.3698  4 Si 2.67-2.81

=====

## ii
The following is a DFT calculation (PBE-GGA) of Er2ScSi2 after structural relaxation.

abc: 4.1898 5.6878 5.6879
angles: 63.09 68.39 68.39
Closest atoms and distances in Å follow each position.
Fractional positions:
Er: 0.7017 0.7982 0.2984  6 Si 3.00-3.13, 2 Sc 3.35
Er: 0.2983 0.2018 0.7016  6 Si 3.00-3.13, 2 Sc 3.35
Si: 0.0000 0.7923 0.7078  1 Si 2.47, 2 Sc 2.72
Si: 0.0000 0.2077 0.2922  1 Si 2.47, 2 Sc 2.72
Sc: 0.5000 0.5000 0.0000  4 Si 2.72

=====

Most stable of them? ii.